1.
# NbZn2SbPt, relaxed, DFT PBE
# - raw formation energy (eV/atom) = 1.1263
# - symmetry = No. 123
# - VASP energy (eV per atom) = -3.4299
data_NbZn2SbPt
_chemical_formula_sum 'Nb1 Zn2 Sb1 Pt1'
_cell_length_a 4.929
_cell_length_b 5.029
_cell_length_c 4.929
_cell_angle_alpha 90.00
_cell_angle_beta 90.00
_cell_angle_gamma 90.00
_symmetry_space_group_name_H-M 'P 1'
_symmetry_Int_Tables_number 1
loop_
_symmetry_equiv_pos_as_xyz
'x,y,z'
loop_
_atom_site_label
_atom_site_type_symbol
_atom_site_fract_x
_atom_site_fract_y
_atom_site_fract_z
Sb1 Sb 0.000 0.000 0.000
Nb1 Nb 0.500 0.500 0.500
Zn1 Zn 0.000 0.000 0.500
Zn2 Zn 0.500 0.000 0.000
Pt1 Pt 0.000 0.500 0.000

2.
# BaZrRu3, relaxed, DFT PBE
# - E_form (eV per atom) = 2.222
# - symmetry = No. 221
# - VASP energy (eV per atom) = -5.4378
# - ΔE to the lowest computed polymorph (eV/atom) = 1.2088
data_BaZrRu3
_chemical_formula_sum 'Ba1 Zr1 Ru3'
_cell_length_a 4.902
_cell_length_b 4.902
_cell_length_c 4.902
_cell_angle_alpha 90.00
_cell_angle_beta 90.00
_cell_angle_gamma 90.00
_symmetry_space_group_name_H-M 'P 1'
_symmetry_Int_Tables_number 1
loop_
_symmetry_equiv_pos_as_xyz
'x,y,z'
loop_
_atom_site_label
_atom_site_type_symbol
_atom_site_fract_x
_atom_site_fract_y
_atom_site_fract_z
Ru1 Ru 0.000 0.500 0.000
Ru2 Ru 0.000 0.000 0.500
Ru3 Ru 0.500 0.000 0.000
Ba1 Ba 0.000 0.000 0.000
Zr1 Zr 0.500 0.500 0.500

3.
# Ac8Os2Rh, relaxed, DFT PBE
# - E_form (eV per atom) = -0.153
# - symmetry = No. 12
# - VASP energy (eV per atom) = -5.8507
data_Ac8Os2Rh
_chemical_formula_sum 'Ac8 Os2 Rh1'
_cell_length_a 7.143
_cell_length_b 8.029
_cell_length_c 8.029
_cell_angle_alpha 66.05
_cell_angle_beta 89.78
_cell_angle_gamma 89.78
_symmetry_space_group_name_H-M 'P 1'
_symmetry_Int_Tables_number 1
loop_
_symmetry_equiv_pos_as_xyz
'x,y,z'
loop_
_atom_site_label
_atom_site_type_symbol
_atom_site_fract_x
_atom_site_fract_y
_atom_site_fract_z
Ac1 Ac 0.833 0.869 0.392
Ac2 Ac 0.167 0.608 0.131
Ac3 Ac 0.663 0.880 0.880
Ac4 Ac 0.337 0.120 0.120
Ac5 Ac 0.833 0.392 0.869
Ac6 Ac 0.167 0.131 0.608
Ac7 Ac 0.326 0.630 0.630
Ac8 Ac 0.674 0.370 0.370
Os1 Os 0.011 0.765 0.765
Os2 Os 0.989 0.235 0.235
Rh1 Rh 0.000 0.000 0.000

4.
# ZrCoSeI2, relaxed, DFT PBE
# - raw formation energy (eV/atom) = 1.0575
# - symmetry = No. 123
# - VASP energy (eV per atom) = -3.3903
data_ZrCoSeI2
_chemical_formula_sum 'Zr1 Co1 Se1 I2'
_cell_length_a 5.967
_cell_length_b 5.083
_cell_length_c 5.967
_cell_angle_alpha 90.00
_cell_angle_beta 90.00
_cell_angle_gamma 90.00
_symmetry_space_group_name_H-M 'P 1'
_symmetry_Int_Tables_number 1
loop_
_symmetry_equiv_pos_as_xyz
'x,y,z'
loop_
_atom_site_label
_atom_site_type_symbol
_atom_site_fract_x
_atom_site_fract_y
_atom_site_fract_z
I1 I 0.000 0.000 0.500
I2 I 0.500 0.000 0.000
Co1 Co 0.500 0.500 0.500
Se1 Se 0.000 0.000 0.000
Zr1 Zr 0.000 0.500 0.000

5.
# Pu2Be4ZnSi3, relaxed, DFT PBE
# - raw formation energy (eV/atom) = -0.2875
# - symmetry = No. 115
# - VASP energy (eV per atom) = -6.3987
data_Pu2Be4ZnSi3
_chemical_formula_sum 'Pu2 Be4 Zn1 Si3'
_cell_length_a 3.883
_cell_length_b 3.883
_cell_length_c 9.613
_cell_angle_alpha 90.00
_cell_angle_beta 90.00
_cell_angle_gamma 90.00
_symmetry_space_group_name_H-M 'P 1'
_symmetry_Int_Tables_number 1
loop_
_symmetry_equiv_pos_as_xyz
'x,y,z'
loop_
_atom_site_label
_atom_site_type_symbol
_atom_site_fract_x
_atom_site_fract_y
_atom_site_fract_z
Pu1 Pu 0.500 0.000 0.243
Pu2 Pu 0.000 0.500 0.757
Be1 Be 0.500 0.500 0.000
Be2 Be 0.000 0.000 0.000
Be3 Be 0.500 0.000 0.636
Be4 Be 0.000 0.500 0.364
Zn1 Zn 0.500 0.500 0.500
Si1 Si 0.000 0.000 0.500
Si2 Si 0.500 0.000 0.869
Si3 Si 0.000 0.500 0.131

6.
# K3ZrNb, relaxed, DFT PBE
# - E_form (eV per atom) = 2.296
# - symmetry = No. 221
# - VASP energy (eV per atom) = -2.0863
# - ΔE to the lowest computed polymorph (eV/atom) = 0.0000
data_K3ZrNb
_chemical_formula_sum 'K3 Zr1 Nb1'
_cell_length_a 6.062
_cell_length_b 6.062
_cell_length_c 6.062
_cell_angle_alpha 90.00
_cell_angle_beta 90.00
_cell_angle_gamma 90.00
_symmetry_space_group_name_H-M 'P 1'
_symmetry_Int_Tables_number 1
loop_
_symmetry_equiv_pos_as_xyz
'x,y,z'
loop_
_atom_site_label
_atom_site_type_symbol
_atom_site_fract_x
_atom_site_fract_y
_atom_site_fract_z
Nb1 Nb 0.000 0.000 0.000
K1 K 0.000 0.500 0.000
K2 K 0.000 0.000 0.500
K3 K 0.500 0.000 0.000
Zr1 Zr 0.500 0.500 0.500

7.
# SrRe2Cl, relaxed, DFT PBE
# - raw formation energy (eV/atom) = 0.9999
# - symmetry = No. 65
# - VASP energy (eV per atom) = -6.1063
# - ΔE to the lowest computed polymorph (eV/atom) = 1.0177
data_SrRe2Cl
_chemical_formula_sum 'Sr1 Re2 Cl1'
_cell_length_a 6.573
_cell_length_b 6.573
_cell_length_c 2.817
_cell_angle_alpha 90.00
_cell_angle_beta 90.00
_cell_angle_gamma 134.42
_symmetry_space_group_name_H-M 'P 1'
_symmetry_Int_Tables_number 1
loop_
_symmetry_equiv_pos_as_xyz
'x,y,z'
loop_
_atom_site_label
_atom_site_type_symbol
_atom_site_fract_x
_atom_site_fract_y
_atom_site_fract_z
Cl1 Cl 0.000 0.500 0.500
Re1 Re 0.000 0.000 0.000
Re2 Re 0.500 0.500 0.000
Sr1 Sr 0.500 0.000 0.500

8.
# Na2AlP2Pd, relaxed, DFT PBE
# - E_form (eV per atom) = -0.494
# - symmetry = No. 72
# - VASP energy (eV per atom) = -4.2262
data_Na2AlP2Pd
_chemical_formula_sum 'Na4 Al2 P4 Pd2'
_cell_length_a 5.556
_cell_length_b 5.756
_cell_length_c 8.079
_cell_angle_alpha 110.87
_cell_angle_beta 110.11
_cell_angle_gamma 90.00
_symmetry_space_group_name_H-M 'P 1'
_symmetry_Int_Tables_number 1
loop_
_symmetry_equiv_pos_as_xyz
'x,y,z'
loop_
_atom_site_label
_atom_site_type_symbol
_atom_site_fract_x
_atom_site_fract_y
_atom_site_fract_z
Na1 Na 0.403 0.179 0.357
Na2 Na 0.597 0.821 0.643
Na3 Na 0.045 0.321 0.643
Na4 Na 0.955 0.679 0.357
Al1 Al 0.500 0.750 0.000
Al2 Al 0.500 0.250 0.000
P1 P 0.835 0.107 0.214
P2 P 0.379 0.607 0.214
P3 P 0.621 0.393 0.786
P4 P 0.165 0.893 0.786
Pd1 Pd 0.000 0.750 0.000
Pd2 Pd 0.000 0.250 0.000

9.
# Tm2Te4Pb, relaxed, DFT PBE
# - raw formation energy (eV/atom) = -1.0507
# - symmetry = No. 63
# - VASP energy (eV per atom) = -4.6533
data_Tm2Te4Pb
_chemical_formula_sum 'Tm4 Te8 Pb2'
_cell_length_a 4.355
_cell_length_b 7.497
_cell_length_c 15.124
_cell_angle_alpha 90.00
_cell_angle_beta 90.00
_cell_angle_gamma 106.88
_symmetry_space_group_name_H-M 'P 1'
_symmetry_Int_Tables_number 1
loop_
_symmetry_equiv_pos_as_xyz
'x,y,z'
loop_
_atom_site_label
_atom_site_type_symbol
_atom_site_fract_x
_atom_site_fract_y
_atom_site_fract_z
Tm1 Tm 0.137 0.274 0.435
Tm2 Tm 0.863 0.726 0.935
Tm3 Tm 0.137 0.274 0.065
Tm4 Tm 0.863 0.726 0.565
Te1 Te 0.772 0.544 0.117
Te2 Te 0.772 0.544 0.383
Te3 Te 0.228 0.456 0.883
Te4 Te 0.228 0.456 0.617
Te5 Te 0.946 0.892 0.750
Te6 Te 0.054 0.108 0.250
Te7 Te 0.500 0.000 0.000
Te8 Te 0.500 0.000 0.500
Pb1 Pb 0.602 0.205 0.750
Pb2 Pb 0.398 0.795 0.250

10.
# Al2ZnCr2, relaxed, DFT PBE
# - E_form (eV per atom) = 0.111
# - symmetry = No. 127
# - VASP energy (eV per atom) = -5.4897
# - ΔE to the lowest computed polymorph (eV/atom) = 0.0000
data_Al2ZnCr2
_chemical_formula_sum 'Al4 Zn2 Cr4'
_cell_length_a 6.690
_cell_length_b 6.690
_cell_length_c 3.195
_cell_angle_alpha 90.00
_cell_angle_beta 90.00
_cell_angle_gamma 90.00
_symmetry_space_group_name_H-M 'P 1'
_symmetry_Int_Tables_number 1
loop_
_symmetry_equiv_pos_as_xyz
'x,y,z'
loop_
_atom_site_label
_atom_site_type_symbol
_atom_site_fract_x
_atom_site_fract_y
_atom_site_fract_z
Cr1 Cr 0.388 0.888 0.000
Cr2 Cr 0.888 0.612 0.000
Cr3 Cr 0.612 0.112 0.000
Cr4 Cr 0.112 0.388 0.000
Zn1 Zn 0.000 0.000 0.000
Zn2 Zn 0.500 0.500 0.000
Al1 Al 0.181 0.681 0.500
Al2 Al 0.681 0.819 0.500
Al3 Al 0.819 0.319 0.500
Al4 Al 0.319 0.181 0.500

11.
# Ag12SnAu6, relaxed, DFT PBE
# - E_form (eV per atom) = 0.033
# - symmetry = No. 166
# - VASP energy (eV per atom) = -3.0135
data_Ag12SnAu6
_chemical_formula_sum 'Ag12 Sn1 Au6'
_cell_length_a 7.322
_cell_length_b 7.322
_cell_length_c 7.322
_cell_angle_alpha 102.45
_cell_angle_beta 102.45
_cell_angle_gamma 102.45
_symmetry_space_group_name_H-M 'P 1'
_symmetry_Int_Tables_number 1
loop_
_symmetry_equiv_pos_as_xyz
'x,y,z'
loop_
_atom_site_label
_atom_site_type_symbol
_atom_site_fract_x
_atom_site_fract_y
_atom_site_fract_z
Ag1 Ag 0.809 0.413 0.413
Ag2 Ag 0.413 0.809 0.413
Ag3 Ag 0.413 0.413 0.809
Ag4 Ag 0.191 0.587 0.587
Ag5 Ag 0.587 0.191 0.587
Ag6 Ag 0.587 0.587 0.191
Ag7 Ag 0.000 0.736 0.264
Ag8 Ag 0.264 0.736 0.000
Ag9 Ag 0.736 0.000 0.264
Ag10 Ag 0.000 0.264 0.736
Ag11 Ag 0.736 0.264 0.000
Ag12 Ag 0.264 0.000 0.736
Sn1 Sn 0.000 0.000 0.000
Au1 Au 0.833 0.832 0.577
Au2 Au 0.423 0.167 0.168
Au3 Au 0.168 0.423 0.167
Au4 Au 0.167 0.168 0.423
Au5 Au 0.577 0.833 0.832
Au6 Au 0.832 0.577 0.833

12.
# Rb2TlReO4, relaxed, DFT PBE
# - raw formation energy (eV/atom) = -1.4132
# - symmetry = No. 82
# - VASP energy (eV per atom) = -5.9860
data_Rb2TlReO4
_chemical_formula_sum 'Rb2 Tl1 Re1 O4'
_cell_length_a 6.181
_cell_length_b 6.181
_cell_length_c 6.181
_cell_angle_alpha 96.45
_cell_angle_beta 116.35
_cell_angle_gamma 116.35
_symmetry_space_group_name_H-M 'P 1'
_symmetry_Int_Tables_number 1
loop_
_symmetry_equiv_pos_as_xyz
'x,y,z'
loop_
_atom_site_label
_atom_site_type_symbol
_atom_site_fract_x
_atom_site_fract_y
_atom_site_fract_z
Rb1 Rb 0.500 0.750 0.250
Rb2 Rb 0.000 0.000 0.000
Tl1 Tl 0.500 0.250 0.750
Re1 Re 0.000 0.500 0.500
O1 O 0.615 0.360 0.373
O2 O 0.013 0.255 0.640
O3 O 0.987 0.627 0.242
O4 O 0.385 0.758 0.745

13.
# PmDyPb, relaxed, DFT PBE
# - E_form (eV per atom) = -0.219
# - symmetry = No. 156
# - VASP energy (eV per atom) = -4.5722
# - ΔE to the lowest computed polymorph (eV/atom) = 0.2266
data_PmDyPb
_chemical_formula_sum 'Pm1 Dy1 Pb1'
_cell_length_a 3.942
_cell_length_b 5.250
_cell_length_c 5.250
_cell_angle_alpha 120.00
_cell_angle_beta 90.00
_cell_angle_gamma 90.00
_symmetry_space_group_name_H-M 'P 1'
_symmetry_Int_Tables_number 1
loop_
_symmetry_equiv_pos_as_xyz
'x,y,z'
loop_
_atom_site_label
_atom_site_type_symbol
_atom_site_fract_x
_atom_site_fract_y
_atom_site_fract_z
Pb1 Pb 0.721 0.667 0.333
Pm1 Pm 0.368 0.333 0.667
Dy1 Dy 0.911 0.000 0.000

14.
# Fe2ReRu, relaxed, DFT PBE
# - E_form (eV per atom) = 0.111
# - symmetry = No. 139
# - VASP energy (eV per atom) = -9.5512
data_Fe2ReRu
_chemical_formula_sum 'Fe2 Re1 Ru1'
_cell_length_a 4.469
_cell_length_b 4.469
_cell_length_c 4.469
_cell_angle_alpha 130.93
_cell_angle_beta 130.93
_cell_angle_gamma 71.92
_symmetry_space_group_name_H-M 'P 1'
_symmetry_Int_Tables_number 1
loop_
_symmetry_equiv_pos_as_xyz
'x,y,z'
loop_
_atom_site_label
_atom_site_type_symbol
_atom_site_fract_x
_atom_site_fract_y
_atom_site_fract_z
Fe1 Fe 0.000 0.000 0.000
Fe2 Fe 0.500 0.500 0.000
Re1 Re 0.250 0.750 0.500
Ru1 Ru 0.750 0.250 0.500

15.
# LiAc2Ni2, relaxed, DFT PBE
# - E_form (eV per atom) = -0.183
# - symmetry = No. 127
# - VASP energy (eV per atom) = -4.5220
data_LiAc2Ni2
_chemical_formula_sum 'Li2 Ac4 Ni4'
_cell_length_a 4.053
_cell_length_b 7.814
_cell_length_c 7.814
_cell_angle_alpha 90.00
_cell_angle_beta 90.00
_cell_angle_gamma 90.00
_symmetry_space_group_name_H-M 'P 1'
_symmetry_Int_Tables_number 1
loop_
_symmetry_equiv_pos_as_xyz
'x,y,z'
loop_
_atom_site_label
_atom_site_type_symbol
_atom_site_fract_x
_atom_site_fract_y
_atom_site_fract_z
Li1 Li 0.000 0.000 0.000
Li2 Li 0.000 0.500 0.500
Ac1 Ac 0.500 0.180 0.680
Ac2 Ac 0.500 0.680 0.820
Ac3 Ac 0.500 0.820 0.320
Ac4 Ac 0.500 0.320 0.180
Ni1 Ni 0.000 0.389 0.889
Ni2 Ni 0.000 0.889 0.611
Ni3 Ni 0.000 0.611 0.111
Ni4 Ni 0.000 0.111 0.389

16.
# Li3NpRh2S6, relaxed, DFT PBE
# - raw formation energy (eV/atom) = -0.9962
# - symmetry = No. 12
# - VASP energy (eV per atom) = -5.8420
data_Li3NpRh2S6
_chemical_formula_sum 'Li3 Np1 Rh2 S6'
_cell_length_a 6.143
_cell_length_b 6.143
_cell_length_c 6.548
_cell_angle_alpha 98.95
_cell_angle_beta 98.95
_cell_angle_gamma 119.90
_symmetry_space_group_name_H-M 'P 1'
_symmetry_Int_Tables_number 1
loop_
_symmetry_equiv_pos_as_xyz
'x,y,z'
loop_
_atom_site_label
_atom_site_type_symbol
_atom_site_fract_x
_atom_site_fract_y
_atom_site_fract_z
Li1 Li 0.164 0.836 0.500
Li2 Li 0.836 0.164 0.500
Li3 Li 0.500 0.500 0.500
Np1 Np 0.000 0.000 0.000
Rh1 Rh 0.333 0.667 0.000
Rh2 Rh 0.667 0.333 0.000
S1 S 0.923 0.558 0.766
S2 S 0.714 0.714 0.236
S3 S 0.077 0.442 0.234
S4 S 0.558 0.923 0.766
S5 S 0.286 0.286 0.764
S6 S 0.442 0.077 0.234

17.
# CdBPt3, relaxed, DFT PBE
# - E_form (eV per atom) = -0.305
# - symmetry = No. 14
# - VASP energy (eV per atom) = -5.4481
# - ΔE to the lowest computed polymorph (eV/atom) = 0.0466
data_CdBPt3
_chemical_formula_sum 'Cd4 B4 Pt12'
_cell_length_a 21.786
_cell_length_b 4.094
_cell_length_c 9.586
_cell_angle_alpha 90.00
_cell_angle_beta 159.22
_cell_angle_gamma 90.00
_symmetry_space_group_name_H-M 'P 1'
_symmetry_Int_Tables_number 1
loop_
_symmetry_equiv_pos_as_xyz
'x,y,z'
loop_
_atom_site_label
_atom_site_type_symbol
_atom_site_fract_x
_atom_site_fract_y
_atom_site_fract_z
B1 B 0.078 0.167 0.812
B2 B 0.922 0.833 0.188
B3 B 0.422 0.667 0.688
B4 B 0.578 0.333 0.312
Pt1 Pt 0.382 0.238 0.035
Pt2 Pt 0.618 0.762 0.965
Pt3 Pt 0.118 0.738 0.465
Pt4 Pt 0.882 0.262 0.535
Pt5 Pt 0.349 0.257 0.398
Pt6 Pt 0.651 0.743 0.602
Pt7 Pt 0.151 0.757 0.102
Pt8 Pt 0.849 0.243 0.898
Pt9 Pt 0.909 0.751 0.377
Pt10 Pt 0.091 0.249 0.623
Pt11 Pt 0.591 0.251 0.123
Pt12 Pt 0.409 0.749 0.877
Cd1 Cd 0.356 0.747 0.194
Cd2 Cd 0.644 0.253 0.806
Cd3 Cd 0.144 0.247 0.306
Cd4 Cd 0.856 0.753 0.694

18.
# HgP2Pb, relaxed, DFT PBE
# - E_form (eV per atom) = 0.218
# - symmetry = No. 99
# - VASP energy (eV per atom) = -3.4892
# - ΔE to the lowest computed polymorph (eV/atom) = 0.0943
data_HgP2Pb
_chemical_formula_sum 'Hg1 P2 Pb1'
_cell_length_a 3.387
_cell_length_b 3.387
_cell_length_c 7.937
_cell_angle_alpha 90.00
_cell_angle_beta 90.00
_cell_angle_gamma 90.00
_symmetry_space_group_name_H-M 'P 1'
_symmetry_Int_Tables_number 1
loop_
_symmetry_equiv_pos_as_xyz
'x,y,z'
loop_
_atom_site_label
_atom_site_type_symbol
_atom_site_fract_x
_atom_site_fract_y
_atom_site_fract_z
Hg1 Hg 0.500 0.500 0.784
P1 P 0.000 0.000 0.108
P2 P 0.500 0.500 0.145
Pb1 Pb 0.000 0.000 0.463